{"formula": "Dy2TcRu3", "functional": "PBE", "state": "relaxed", "cell": [[-5.330, -0.958, -0.566], [3.439, -1.285, -4.021], [1.024, -7.661, 3.324]], "species": ["Ru", "Dy", "Tc", "Ru", "Dy", "Dy", "Ru", "Ru", "Dy", "Tc", "Ru", "Ru"], "frac_coords": [[0.172, 0.344, 0.250], [0.667, 0.333, 0.436], [0.000, 0.000, 0.000], [0.828, 0.172, 0.750], [0.333, 0.667, 0.936], [0.333, 0.667, 0.564], [0.828, 0.656, 0.750], [0.656, 0.828, 0.250], [0.667, 0.333, 0.064], [0.000, 0.000, 0.500], [0.172, 0.828, 0.250], [0.344, 0.172, 0.750]], "dos_at_fermi_per_ev_fu": 6.017, "space_group": "P6_3/mmc, No. 194", "delta_e_f_mev_per_atom": -291}

{"formula": "DyTcRu", "functional": "PBE", "state": "relaxed", "cell": [[-3.877, -0.978, -3.012], [-1.432, 0.642, 4.753], [2.821, 5.496, 0.663]], "species": ["Ru", "Ru", "Dy", "Tc", "Dy", "Tc"], "frac_coords": [[0.237, 0.006, 0.243], [0.763, 0.994, 0.757], [0.766, 0.368, 0.134], [0.000, 0.000, 0.500], [0.234, 0.632, 0.866], [0.500, 0.500, 0.500]], "dos_at_fermi_per_ev_fu": 3.273, "space_group": "C2/m, No. 12", "delta_e_f_mev_per_atom": 179}

{"formula": "DyTcRu", "functional": "PBE", "state": "relaxed", "cell": [[5.477, -0.157, 0.000], [-2.790, 4.715, 0.000], [0.000, 0.000, 8.602]], "species": ["Tc", "Ru", "Dy", "Dy", "Ru", "Dy", "Tc", "Ru", "Ru", "Dy", "Tc", "Tc"], "frac_coords": [[0.992, 0.008, 0.249], [0.834, 0.166, 0.000], [0.664, 0.336, 0.689], [0.333, 0.667, 0.183], [0.176, 0.824, 0.500], [0.664, 0.336, 0.311], [0.992, 0.008, 0.751], [0.830, 0.652, 0.000], [0.348, 0.170, 0.000], [0.333, 0.667, 0.817], [0.659, 0.825, 0.500], [0.175, 0.341, 0.500]], "dos_at_fermi_per_ev_fu": 3.144, "space_group": "Amm2, No. 38", "delta_e_f_mev_per_atom": -257}

{"formula": "DyUTcRu", "functional": "PBE", "state": "relaxed", "cell": [[4.417, 0.000, 0.000], [-2.209, 3.824, -0.002], [0.000, -2.546, 5.008]], "species": ["Dy", "Ru", "Tc", "U"], "frac_coords": [[0.616, 0.232, 0.490], [0.827, 0.654, 0.123], [0.408, 0.817, 0.868], [0.115, 0.230, 0.986]], "dos_at_fermi_per_ev_fu": 4.120, "space_group": "R3m, No. 160", "delta_e_f_mev_per_atom": -219}

{"formula": "DyUTcRu", "functional": "PBE", "state": "relaxed", "cell": [[4.798, 0.000, 0.000], [2.399, 4.155, 0.000], [2.399, 1.385, 3.917]], "species": ["U", "Tc", "Dy", "Ru"], "frac_coords": [[0.000, 0.000, 0.000], [0.750, 0.750, 0.750], [0.500, 0.500, 0.500], [0.250, 0.250, 0.250]], "dos_at_fermi_per_ev_fu": 9.258, "space_group": "F-43m, No. 216", "delta_e_f_mev_per_atom": -88}

{"formula": "DyVTcRu", "functional": "PBE", "state": "relaxed", "cell": [[4.528, 0.000, 0.000], [2.264, 3.921, 0.000], [2.264, 1.307, 3.697]], "species": ["Tc", "V", "Dy", "Ru"], "frac_coords": [[0.250, 0.250, 0.250], [0.000, 0.000, 0.000], [0.500, 0.500, 0.500], [0.750, 0.750, 0.750]], "dos_at_fermi_per_ev_fu": 4.355, "space_group": "F-43m, No. 216", "delta_e_f_mev_per_atom": -58}

{"formula": "Dy5TeRu2", "functional": "PBE", "state": "relaxed", "cell": [[0.666, 4.777, -6.091], [6.145, -4.044, -2.499], [-7.475, -4.346, 0.729]], "species": ["Dy", "Dy", "Dy", "Ru", "Ru", "Dy", "Dy", "Te", "Dy", "Dy", "Te", "Ru", "Dy", "Dy", "Ru", "Dy"], "frac_coords": [[0.500, 0.500, 0.000], [0.713, 0.213, 0.734], [0.287, 0.787, 0.266], [0.642, 0.142, 0.000], [0.358, 0.858, 0.000], [0.979, 0.479, 0.266], [0.787, 0.979, 0.266], [0.750, 0.750, 0.500], [0.479, 0.287, 0.266], [0.000, 0.000, 0.000], [0.250, 0.250, 0.500], [0.858, 0.642, 0.000], [0.521, 0.713, 0.734], [0.213, 0.021, 0.734], [0.142, 0.358, 0.000], [0.021, 0.521, 0.734]], "dos_at_fermi_per_ev_fu": 6.356, "formation_energy_uncorrected_ev_per_atom": -0.590, "space_group": "I4/mcm, No. 140"}

{"formula": "Dy5Te2Ru", "functional": "PBE", "state": "relaxed", "cell": [[5.854, 0.000, 0.000], [-2.927, 5.919, 0.000], [0.000, 0.000, 14.496]], "species": ["Te", "Dy", "Ru", "Te", "Dy", "Dy", "Te", "Dy", "Dy", "Dy", "Dy", "Ru", "Te", "Dy", "Dy", "Dy"], "frac_coords": [[0.190, 0.381, 0.941], [0.372, 0.743, 0.114], [0.220, 0.439, 0.250], [0.810, 0.619, 0.059], [0.372, 0.743, 0.386], [0.063, 0.126, 0.123], [0.810, 0.619, 0.441], [0.307, 0.613, 0.750], [0.937, 0.874, 0.877], [0.063, 0.126, 0.377], [0.693, 0.387, 0.250], [0.780, 0.561, 0.750], [0.190, 0.381, 0.559], [0.628, 0.257, 0.886], [0.628, 0.257, 0.614], [0.937, 0.874, 0.623]], "dos_at_fermi_per_ev_fu": 7.678, "formation_energy_uncorrected_ev_per_atom": -0.515, "space_group": "Cmcm, No. 63"}

{"formula": "Dy5Te4Ru", "functional": "PBE", "state": "relaxed", "cell": [[6.144, 0.000, 0.000], [3.072, 6.871, 0.000], [3.072, 0.000, 6.871]], "species": ["Dy", "Ru", "Dy", "Te", "Te", "Te", "Dy", "Dy", "Dy", "Te"], "frac_coords": [[0.910, 0.347, 0.835], [0.001, 0.000, 0.000], [0.745, 0.165, 0.347], [0.592, 0.599, 0.219], [0.811, 0.781, 0.599], [0.191, 0.219, 0.401], [0.501, 0.000, 0.000], [0.092, 0.653, 0.165], [0.257, 0.835, 0.653], [0.410, 0.401, 0.781]], "dos_at_fermi_per_ev_fu": 7.442, "formation_energy_uncorrected_ev_per_atom": -1.105, "space_group": "I4/m, No. 87"}

{"formula": "Dy2TeRu", "functional": "PBE", "state": "relaxed", "cell": [[3.567, 0.000, 0.000], [0.000, 3.567, 0.000], [0.000, 0.000, 7.443]], "species": ["Ru", "Dy", "Dy", "Te"], "frac_coords": [[0.500, 0.500, 0.000], [0.000, 0.000, 0.221], [0.000, 0.000, 0.779], [0.500, 0.500, 0.500]], "dos_at_fermi_per_ev_fu": 0.847, "formation_energy_uncorrected_ev_per_atom": -0.717, "space_group": "P4/mmm, No. 123"}

{"formula": "Dy5Te2Ru", "functional": "PBE", "state": "relaxed", "cell": [[-3.065, -0.004, 2.878], [1.948, -7.633, 2.065], [8.236, 4.476, 8.778]], "species": ["Dy", "Dy", "Dy", "Dy", "Dy", "Dy", "Te", "Dy", "Dy", "Te", "Ru", "Te", "Ru", "Te", "Dy", "Dy"], "frac_coords": [[0.000, 0.000, 0.500], [0.000, 0.842, 0.185], [0.500, 0.173, 0.079], [0.500, 0.327, 0.579], [0.000, 0.658, 0.685], [0.000, 0.158, 0.815], [0.500, 0.046, 0.322], [0.000, 0.500, 0.000], [0.000, 0.342, 0.315], [0.500, 0.954, 0.678], [0.000, 0.000, 0.000], [0.500, 0.546, 0.178], [0.000, 0.500, 0.500], [0.500, 0.454, 0.822], [0.500, 0.827, 0.921], [0.500, 0.673, 0.421]], "dos_at_fermi_per_ev_fu": 5.339, "formation_energy_uncorrected_ev_per_atom": -0.781, "space_group": "Pbam, No. 55"}

{"formula": "Dy5Te2Ru2", "functional": "PBE", "state": "relaxed", "cell": [[-6.402, 3.136, 3.064], [-1.696, -6.737, 3.350], [0.890, 3.702, 7.896]], "species": ["Ru", "Dy", "Ru", "Te", "Dy", "Dy", "Dy", "Dy", "Dy", "Dy", "Ru", "Te", "Dy", "Te", "Dy", "Dy", "Ru", "Te"], "frac_coords": [[0.863, 0.635, 0.000], [0.778, 0.841, 0.768], [0.137, 0.365, 0.000], [0.710, 0.500, 0.579], [0.545, 0.841, 0.232], [0.500, 0.500, 0.000], [0.000, 0.000, 0.000], [0.455, 0.159, 0.768], [0.278, 0.659, 0.768], [0.045, 0.659, 0.232], [0.363, 0.865, 0.000], [0.790, 0.000, 0.421], [0.955, 0.341, 0.768], [0.210, 0.000, 0.579], [0.722, 0.341, 0.232], [0.222, 0.159, 0.232], [0.637, 0.135, 0.000], [0.290, 0.500, 0.421]], "dos_at_fermi_per_ev_fu": 4.225, "formation_energy_uncorrected_ev_per_atom": -0.807, "space_group": "Cmce, No. 64"}

{"formula": "DyTeRu", "functional": "PBE", "state": "relaxed", "cell": [[4.120, 0.000, 0.000], [2.060, 3.568, 0.000], [2.060, 1.189, 11.930]], "species": ["Te", "Ru", "Dy", "Dy", "Ru", "Te"], "frac_coords": [[0.213, 0.213, 0.360], [0.675, 0.675, 0.976], [0.595, 0.595, 0.214], [0.405, 0.405, 0.786], [0.325, 0.325, 0.024], [0.787, 0.787, 0.640]], "dos_at_fermi_per_ev_fu": 0.303, "formation_energy_uncorrected_ev_per_atom": -0.392, "space_group": "R-3m, No. 166"}

{"formula": "Dy2TeRu", "functional": "PBE", "state": "relaxed", "cell": [[-4.074, -0.173, 0.169], [-2.014, -2.822, -2.155], [-1.599, -5.608, 4.972]], "species": ["Dy", "Dy", "Te", "Ru"], "frac_coords": [[0.737, 0.737, 0.789], [0.263, 0.263, 0.211], [0.500, 0.500, 0.500], [0.000, 0.000, 0.000]], "dos_at_fermi_per_ev_fu": 2.135, "formation_energy_uncorrected_ev_per_atom": -0.646, "space_group": "R-3m, No. 166"}

{"formula": "DyThRu2", "functional": "PBE", "state": "relaxed", "cell": [[-0.420, 0.850, 3.357], [-4.877, -0.336, -0.525], [0.195, -4.756, 1.229]], "species": ["Th", "Dy", "Ru", "Ru"], "frac_coords": [[0.500, 0.000, 0.000], [0.500, 0.500, 0.500], [0.000, 0.500, 0.000], [0.000, 0.000, 0.500]], "dos_at_fermi_per_ev_fu": 1.688, "space_group": "P4/mmm, No. 123", "delta_e_f_mev_per_atom": -418}

{"formula": "Dy2Th2Ru3", "functional": "PBE", "state": "relaxed", "cell": [[4.627, -0.003, -1.294], [-2.496, 4.110, -0.002], [-0.068, -0.039, 8.707]], "species": ["Dy", "Ru", "Ru", "Dy", "Ru", "Th", "Th"], "frac_coords": [[0.257, 0.129, 0.386], [0.508, 0.254, 0.762], [0.000, 0.000, 0.000], [0.743, 0.871, 0.614], [0.492, 0.746, 0.238], [0.761, 0.381, 0.142], [0.239, 0.619, 0.858]], "dos_at_fermi_per_ev_fu": 3.092, "space_group": "C2/m, No. 12", "delta_e_f_mev_per_atom": -401}

{"formula": "Dy4ThRu5", "functional": "PBE", "state": "relaxed", "cell": [[3.444, 0.000, 0.000], [0.000, 3.444, 0.000], [0.000, 0.000, 17.066]], "species": ["Ru", "Dy", "Ru", "Dy", "Ru", "Ru", "Dy", "Ru", "Th", "Dy"], "frac_coords": [[0.500, 0.500, 0.699], [0.000, 0.000, 0.206], [0.500, 0.500, 0.500], [0.000, 0.000, 0.402], [0.500, 0.500, 0.301], [0.500, 0.500, 0.904], [0.000, 0.000, 0.598], [0.500, 0.500, 0.096], [0.000, 0.000, 0.000], [0.000, 0.000, 0.794]], "dos_at_fermi_per_ev_fu": 7.320, "space_group": "P4/mmm, No. 123", "delta_e_f_mev_per_atom": -366}

{"formula": "Dy2Th2Ru3", "functional": "PBE", "state": "relaxed", "cell": [[3.980, 0.007, 0.001], [-1.964, 6.838, 0.568], [-0.004, -0.428, 6.262]], "species": ["Ru", "Dy", "Ru", "Ru", "Th", "Th", "Dy"], "frac_coords": [[0.256, 0.513, 0.682], [0.113, 0.218, 0.370], [0.000, 0.000, 0.000], [0.744, 0.487, 0.318], [0.357, 0.716, 0.119], [0.643, 0.284, 0.881], [0.887, 0.782, 0.630]], "dos_at_fermi_per_ev_fu": 3.453, "space_group": "P-1, No. 2", "delta_e_f_mev_per_atom": -337}

{"formula": "Dy2ThRu2", "functional": "PBE", "state": "relaxed", "cell": [[4.418, 0.000, 0.000], [0.000, 4.287, -0.242], [0.000, -1.425, 12.587]], "species": ["Ru", "Th", "Ru", "Dy", "Ru", "Ru", "Dy", "Dy", "Dy", "Th"], "frac_coords": [[0.750, 0.464, 0.931], [0.250, 0.632, 0.267], [0.250, 0.827, 0.655], [0.750, 0.750, 0.498], [0.750, 0.173, 0.345], [0.250, 0.536, 0.069], [0.750, 0.055, 0.110], [0.250, 0.250, 0.502], [0.250, 0.945, 0.890], [0.750, 0.368, 0.733]], "dos_at_fermi_per_ev_fu": 2.657, "space_group": "P2_1/m, No. 11", "delta_e_f_mev_per_atom": -292}

{"formula": "Dy2ThRu", "functional": "PBE", "state": "relaxed", "cell": [[-2.372, 0.287, -2.485], [0.615, -3.253, -0.962], [-6.215, -2.833, 5.606]], "species": ["Dy", "Ru", "Dy", "Th"], "frac_coords": [[0.000, 0.000, 0.815], [0.500, 0.500, 0.000], [0.000, 0.000, 0.185], [0.500, 0.500, 0.500]], "dos_at_fermi_per_ev_fu": 5.201, "space_group": "P4/mmm, No. 123", "delta_e_f_mev_per_atom": -171}

{"formula": "Dy2ThRu", "functional": "PBE", "state": "relaxed", "cell": [[-4.252, 3.578, -3.083], [-4.920, -5.249, 0.693], [-2.864, 3.787, 8.344]], "species": ["Ru", "Th", "Dy", "Th", "Ru", "Th", "Ru", "Dy", "Dy", "Ru", "Dy", "Dy", "Th", "Dy", "Dy", "Dy"], "frac_coords": [[0.968, 0.632, 0.750], [0.846, 0.047, 0.250], [0.169, 0.674, 0.433], [0.654, 0.547, 0.250], [0.468, 0.868, 0.250], [0.154, 0.953, 0.750], [0.532, 0.132, 0.750], [0.831, 0.326, 0.933], [0.669, 0.826, 0.567], [0.032, 0.368, 0.250], [0.669, 0.826, 0.933], [0.169, 0.674, 0.067], [0.346, 0.453, 0.750], [0.331, 0.174, 0.067], [0.831, 0.326, 0.567], [0.331, 0.174, 0.433]], "dos_at_fermi_per_ev_fu": 3.743, "space_group": "Pnma, No. 62", "delta_e_f_mev_per_atom": -348}

{"formula": "Dy2ThRu2", "functional": "PBE", "state": "relaxed", "cell": [[-2.752, 3.631, -1.158], [-1.448, 0.529, -4.441], [-5.115, -3.478, 1.255]], "species": ["Dy", "Th", "Dy", "Ru", "Ru"], "frac_coords": [[0.167, 0.667, 0.345], [0.500, 0.000, 0.000], [0.833, 0.333, 0.655], [0.833, 0.333, 0.152], [0.167, 0.667, 0.848]], "dos_at_fermi_per_ev_fu": 3.417, "space_group": "P-3m1, No. 164", "delta_e_f_mev_per_atom": -386}

{"formula": "DyThRu2", "functional": "PBE", "state": "relaxed", "cell": [[-0.522, 2.290, 4.310], [3.184, -4.366, 2.706], [5.872, 1.428, -0.047]], "species": ["Ru", "Th", "Dy", "Th", "Ru", "Ru", "Dy", "Ru"], "frac_coords": [[0.250, 0.616, 0.134], [0.750, 0.368, 0.368], [0.750, 0.882, 0.882], [0.250, 0.632, 0.632], [0.250, 0.134, 0.616], [0.750, 0.384, 0.866], [0.250, 0.118, 0.118], [0.750, 0.866, 0.384]], "dos_at_fermi_per_ev_fu": 2.660, "space_group": "Cmcm, No. 63", "delta_e_f_mev_per_atom": -419}

{"formula": "Dy2ThRu", "functional": "PBE", "state": "relaxed", "cell": [[3.813, -0.149, 0.000], [-1.672, 6.056, 0.000], [0.000, 0.000, 9.598]], "species": ["Th", "Ru", "Ru", "Dy", "Dy", "Dy", "Dy", "Th"], "frac_coords": [[0.580, 0.160, 0.750], [0.241, 0.481, 0.750], [0.759, 0.519, 0.250], [0.142, 0.283, 0.070], [0.142, 0.283, 0.430], [0.858, 0.717, 0.930], [0.858, 0.717, 0.570], [0.420, 0.840, 0.250]], "dos_at_fermi_per_ev_fu": 5.074, "space_group": "Cmcm, No. 63", "delta_e_f_mev_per_atom": -300}